Entry 1:
{
  "formula": "ErS5Br",
  "functional": "PBE-GGA",
  "state": "relaxed",
  "total_magnetization_mub_per_fu": 1.04,
  "e_form_raw_ev_per_fu": -2.83,
  "lattice_angstrom": [[-2.373, 2.597, 7.820], [2.373, -2.597, 7.820], [2.373, 2.597, -7.820]],
  "species": ["Er", "S", "S", "S", "S", "S", "Br"],
  "fractional_positions": [[0.000, 0.000, 0.000], [0.176, 0.176, 0.000], [0.380, 0.689, 0.691], [0.520, 0.234, 0.715], [0.520, 0.805, 0.285], [0.998, 0.689, 0.309], [0.896, 0.396, 0.500]]
}

Entry 2:
{
  "formula": "Er3SBr7",
  "functional": "PBE-GGA",
  "state": "relaxed",
  "total_magnetization_mub_per_fu": 0.00,
  "e_form_raw_ev_per_fu": -20.72,
  "lattice_angstrom": [[8.143, 0.000, 0.000], [-4.072, 7.052, 0.000], [0.000, 0.000, 7.011]],
  "species": ["Er", "Er", "Er", "S", "Br", "Br", "Br", "Br", "Br", "Br", "Br"],
  "fractional_positions": [[0.015, 0.507, 0.000], [0.493, 0.507, 0.000], [0.493, 0.985, 0.000], [0.333, 0.667, 0.192], [0.171, 0.342, 0.766], [0.171, 0.829, 0.766], [0.345, 0.173, 0.213], [0.658, 0.829, 0.766], [0.667, 0.333, 0.765], [0.827, 0.173, 0.213], [0.827, 0.655, 0.213]]
}

Entry 3:
{
  "formula": "ErSBr",
  "functional": "PBE-GGA",
  "state": "relaxed",
  "total_magnetization_mub_per_fu": 0.00,
  "e_form_raw_ev_per_fu": -5.67,
  "lattice_angstrom": [[7.617, 0.000, 0.000], [0.000, 6.670, 0.000], [-3.106, 0.000, 6.915]],
  "species": ["Er", "Er", "Er", "Er", "S", "S", "S", "S", "Br", "Br", "Br", "Br"],
  "fractional_positions": [[0.214, 0.028, 0.244], [0.214, 0.472, 0.744], [0.786, 0.528, 0.256], [0.786, 0.972, 0.756], [0.110, 0.167, 0.895], [0.110, 0.333, 0.395], [0.890, 0.667, 0.605], [0.890, 0.833, 0.105], [0.389, 0.671, 0.120], [0.389, 0.829, 0.620], [0.611, 0.171, 0.380], [0.611, 0.329, 0.880]]
}

Entry 4:
{
  "formula": "Er6S8Br",
  "functional": "PBE-GGA",
  "state": "relaxed",
  "total_magnetization_mub_per_fu": 0.00,
  "e_form_raw_ev_per_fu": -28.17,
  "lattice_angstrom": [[3.812, 2.201, 6.980], [-3.812, 2.201, 6.980], [0.000, -4.402, 6.980]],
  "species": ["Er", "Er", "Er", "Er", "Er", "Er", "S", "S", "S", "S", "S", "S", "S", "S", "Br"],
  "fractional_positions": [[0.053, 0.775, 0.420], [0.225, 0.580, 0.947], [0.420, 0.053, 0.775], [0.580, 0.947, 0.225], [0.775, 0.420, 0.053], [0.947, 0.225, 0.580], [0.079, 0.376, 0.693], [0.168, 0.168, 0.168], [0.307, 0.921, 0.624], [0.376, 0.693, 0.079], [0.624, 0.307, 0.921], [0.693, 0.079, 0.376], [0.832, 0.832, 0.832], [0.921, 0.624, 0.307], [0.500, 0.500, 0.500]]
}

Entry 5:
{
  "formula": "ErScBr3",
  "functional": "PBE-GGA",
  "state": "relaxed",
  "total_magnetization_mub_per_fu": 0.00,
  "e_form_raw_ev_per_fu": -7.20,
  "lattice_angstrom": [[9.145, -1.872, 0.000], [9.145, 1.872, 0.000], [-6.493, 0.000, 9.208]],
  "species": ["Er", "Er", "Sc", "Sc", "Br", "Br", "Br", "Br", "Br", "Br"],
  "fractional_positions": [[0.133, 0.133, 0.279], [0.867, 0.867, 0.721], [0.434, 0.434, 0.038], [0.566, 0.566, 0.962], [0.033, 0.033, 0.753], [0.205, 0.205, 0.116], [0.332, 0.332, 0.493], [0.668, 0.668, 0.507], [0.795, 0.795, 0.884], [0.967, 0.967, 0.247]]
}

Entry 6:
{
  "formula": "ErSeBr",
  "functional": "PBE-GGA",
  "state": "relaxed",
  "total_magnetization_mub_per_fu": 0.00,
  "e_form_raw_ev_per_fu": -5.63,
  "lattice_angstrom": [[8.294, 0.000, 0.000], [0.000, 8.294, 0.000], [0.000, 0.000, 5.653]],
  "species": ["Er", "Er", "Er", "Er", "Se", "Se", "Se", "Se", "Br", "Br", "Br", "Br"],
  "fractional_positions": [[0.000, 0.253, 0.000], [0.000, 0.747, 0.000], [0.253, 0.000, 0.500], [0.747, 0.000, 0.500], [0.000, 0.235, 0.500], [0.000, 0.765, 0.500], [0.235, 0.000, 0.000], [0.765, 0.000, 0.000], [0.230, 0.500, 0.000], [0.500, 0.230, 0.500], [0.500, 0.770, 0.500], [0.770, 0.500, 0.000]]
}

Entry 7:
{
  "formula": "ErSeBr",
  "functional": "PBE-GGA",
  "state": "relaxed",
  "total_magnetization_mub_per_fu": 0.00,
  "e_form_raw_ev_per_fu": -5.48,
  "lattice_angstrom": [[4.100, 0.000, 0.000], [-2.050, 3.550, 0.000], [0.000, 0.000, 6.891]],
  "species": ["Er", "Se", "Br"],
  "fractional_positions": [[0.000, 0.000, 0.000], [0.333, 0.667, 0.798], [0.667, 0.333, 0.258]]
}

Entry 8:
{
  "formula": "Er2SeBr",
  "functional": "PBE-GGA",
  "state": "relaxed",
  "de_polymorph_ev_per_atom": 0.000,
  "total_magnetization_mub_per_fu": 0.15,
  "e_form_raw_ev_per_fu": -5.01,
  "lattice_angstrom": [[1.873, 1.082, 8.053], [-1.873, 1.082, 8.053], [0.000, -2.163, 8.053]],
  "species": ["Er", "Er", "Se", "Br"],
  "fractional_positions": [[0.000, 0.000, 0.000], [0.185, 0.185, 0.185], [0.593, 0.593, 0.593], [0.759, 0.759, 0.759]]
}

Entry 9:
{
  "formula": "Er3SeBr7",
  "functional": "PBE-GGA",
  "state": "relaxed",
  "total_magnetization_mub_per_fu": 0.00,
  "e_form_raw_ev_per_fu": -20.40,
  "lattice_angstrom": [[8.216, 0.000, 0.000], [-4.108, 7.116, 0.000], [0.000, 0.000, 6.984]],
  "species": ["Er", "Er", "Er", "Se", "Br", "Br", "Br", "Br", "Br", "Br", "Br"],
  "fractional_positions": [[0.012, 0.506, 0.000], [0.494, 0.506, 0.000], [0.494, 0.988, 0.000], [0.333, 0.667, 0.781], [0.173, 0.346, 0.232], [0.173, 0.827, 0.232], [0.347, 0.174, 0.789], [0.654, 0.827, 0.232], [0.667, 0.333, 0.236], [0.826, 0.174, 0.789], [0.826, 0.653, 0.789]]
}

Entry 10:
{
  "formula": "Er2SeBr2",
  "functional": "PBE-GGA",
  "state": "relaxed",
  "total_magnetization_mub_per_fu": 0.00,
  "e_form_raw_ev_per_fu": -8.39,
  "lattice_angstrom": [[3.493, -2.018, 0.000], [3.493, 2.018, 0.000], [-2.579, 0.000, 10.916]],
  "species": ["Er", "Er", "Se", "Br", "Br"],
  "fractional_positions": [[0.217, 0.217, 0.137], [0.783, 0.783, 0.863], [0.500, 0.500, 0.000], [0.056, 0.056, 0.699], [0.944, 0.944, 0.301]]
}

Entry 11:
{
  "formula": "ErSeBr",
  "functional": "PBE-GGA",
  "state": "relaxed",
  "total_magnetization_mub_per_fu": 0.00,
  "e_form_raw_ev_per_fu": -4.83,
  "lattice_angstrom": [[-1.943, 3.133, 6.449], [1.943, -3.133, 6.449], [1.943, 3.133, -6.449]],
  "species": ["Er", "Er", "Se", "Se", "Br", "Br"],
  "fractional_positions": [[0.147, 0.147, 0.000], [0.853, 0.853, 0.000], [0.294, 0.794, 0.500], [0.706, 0.206, 0.500], [0.246, 0.500, 0.746], [0.754, 0.500, 0.254]]
}

Entry 12:
{
  "formula": "Er6Se8Br",
  "functional": "PBE-GGA",
  "state": "relaxed",
  "total_magnetization_mub_per_fu": 0.07,
  "e_form_raw_ev_per_fu": -25.36,
  "lattice_angstrom": [[11.058, 0.000, 0.000], [-5.529, 9.577, 0.000], [0.000, 0.000, 4.170]],
  "species": ["Er", "Er", "Er", "Er", "Er", "Er", "Se", "Se", "Se", "Se", "Se", "Se", "Se", "Se", "Br"],
  "fractional_positions": [[0.138, 0.471, 0.248], [0.333, 0.862, 0.248], [0.471, 0.333, 0.752], [0.529, 0.667, 0.248], [0.667, 0.138, 0.752], [0.862, 0.529, 0.752], [0.046, 0.671, 0.253], [0.329, 0.375, 0.253], [0.333, 0.667, 0.749], [0.375, 0.046, 0.747], [0.625, 0.954, 0.253], [0.667, 0.333, 0.251], [0.671, 0.625, 0.747], [0.954, 0.329, 0.747], [0.000, 0.000, 0.000]]
}

Repeat the eleventh record exactly.
{
  "formula": "ErSeBr",
  "functional": "PBE-GGA",
  "state": "relaxed",
  "total_magnetization_mub_per_fu": 0.00,
  "e_form_raw_ev_per_fu": -4.83,
  "lattice_angstrom": [[-1.943, 3.133, 6.449], [1.943, -3.133, 6.449], [1.943, 3.133, -6.449]],
  "species": ["Er", "Er", "Se", "Se", "Br", "Br"],
  "fractional_positions": [[0.147, 0.147, 0.000], [0.853, 0.853, 0.000], [0.294, 0.794, 0.500], [0.706, 0.206, 0.500], [0.246, 0.500, 0.746], [0.754, 0.500, 0.254]]
}

Copy entry 12 word for word.
{
  "formula": "Er6Se8Br",
  "functional": "PBE-GGA",
  "state": "relaxed",
  "total_magnetization_mub_per_fu": 0.07,
  "e_form_raw_ev_per_fu": -25.36,
  "lattice_angstrom": [[11.058, 0.000, 0.000], [-5.529, 9.577, 0.000], [0.000, 0.000, 4.170]],
  "species": ["Er", "Er", "Er", "Er", "Er", "Er", "Se", "Se", "Se", "Se", "Se", "Se", "Se", "Se", "Br"],
  "fractional_positions": [[0.138, 0.471, 0.248], [0.333, 0.862, 0.248], [0.471, 0.333, 0.752], [0.529, 0.667, 0.248], [0.667, 0.138, 0.752], [0.862, 0.529, 0.752], [0.046, 0.671, 0.253], [0.329, 0.375, 0.253], [0.333, 0.667, 0.749], [0.375, 0.046, 0.747], [0.625, 0.954, 0.253], [0.667, 0.333, 0.251], [0.671, 0.625, 0.747], [0.954, 0.329, 0.747], [0.000, 0.000, 0.000]]
}